The following is a PBE calculation of crystalline BaLiAu at its relaxed geometry, from Alexandria.

a b c (Å): 5.3863 5.3863 5.3863
angles (deg): 60.00 60.00 60.00
Closest atoms and distances in Å follow each position.
Element x y z (fractional)
1 Au 0.5000 0.5000 0.5000  4 Ba 3.30
2 Ba 0.7500 0.7500 0.7500  4 Au 3.30, 4 Li 3.30
3 Li 0.0000 0.0000 0.0000  4 Ba 3.30

## Properties
space group = No. 216
ΔH_f (0 K) = -0.022 eV/atom
density of states at the Fermi level = 0.8 states/eV/f.u.